Record 1
Here is LiThPt after structural relaxation from Alexandria via LeMat-Bulk. Energies are from PBE.

abc: 4.3695 4.3695 3.7616
angles: 90.00 90.00 120.00
Fractional positions:
Li  0.0000  0.0000  0.0000
Th  0.6667  0.3333  0.5000
Pt  0.3333  0.6667  0.0000

E = -5.814 eV per atom
polymorph energy (0 for the lowest one) = 136 meV per atom
energy of formation from the pure elements = -2.07 eV/f.u.
crystal system = hexagonal
space-group type = No. 187



Record 2
Here is Pr4PRuI2 after structural relaxation from Alexandria via LeMat-Bulk. Energies are from PBE.

abc: 7.5818 4.1777 8.2660
angles: 90.00 105.68 90.00
Fractional positions:
Pr  0.2230  0.0000  0.1879
Pr  0.2578  0.5000  0.8178
Pr  0.7422  0.5000  0.1822
Pr  0.7770  0.0000  0.8121
P  0.5000  0.0000  0.0000
Ru  0.0000  0.5000  0.0000
I  0.0000  0.0000  0.5000
I  0.5000  0.5000  0.5000

E = -5.588 eV per atom
crystal system = monoclinic
space-group type = No. 10



Number 1: V 62.2 Å³ per cell. Number 2: V 252.1 Å³ per cell.